Entry 1:
VASP calculation (PBE) on Ag2HgAu after structural relaxation.

Computed properties:
ΔE_f = 0.053 eV per atom
calculated volume = 19.2 Å³/atom
raw total energy = -2.268 eV per atom
symmetry = No. 160

abc: 9.913 9.913 9.913
angles: 17.50 17.50 17.50
Fractional positions:
Au 0.504 0.504 0.504
Hg 0.749 0.749 0.749
Ag 0.996 0.996 0.996
Ag 0.251 0.251 0.251

Entry 2:
VASP calculation (PBE) on AgHg3Au after structural relaxation.

Computed properties:
ΔE_f = 0.411 eV per atom
calculated volume = 30.8 Å³/atom
raw total energy = -0.996 eV per atom
symmetry = No. 221
relative energy among the computed polymorphs = 77.1 meV/atom

abc: 5.358 5.358 5.358
angles: 90.00 90.00 90.00
Fractional positions:
Au 0.500 0.500 0.500
Hg 0.000 0.500 0.000
Hg 0.000 0.000 0.500
Hg 0.500 0.000 0.000
Ag 0.000 0.000 0.000

Entry 3:
VASP calculation (PBE) on AgHgAu after structural relaxation.

Computed properties:
ΔE_f = 0.112 eV per atom
calculated volume = 23.2 Å³/atom
raw total energy = -2.032 eV per atom
symmetry = No. 216
relative energy among the computed polymorphs = 74.5 meV/atom

abc: 4.618 4.618 4.618
angles: 60.00 60.00 60.00
Fractional positions:
Au 0.250 0.250 0.250
Hg 0.000 0.000 0.000
Ag 0.500 0.500 0.500

Entry 4:
VASP calculation (PBE) on Ag12Hg2Au after structural relaxation.

Computed properties:
ΔE_f = 0.180 eV per atom
calculated volume = 20.8 Å³/atom
raw total energy = -2.360 eV per atom
symmetry = No. 125

abc: 5.543 5.543 20.327
angles: 90.00 90.00 90.00
Fractional positions:
Ag 0.500 0.500 0.796
Ag 0.000 0.000 0.796
Ag 0.750 0.750 0.899
Ag 0.250 0.750 0.899
Ag 0.000 0.000 0.339
Ag 0.250 0.750 0.101
Ag 0.823 0.323 0.563
Ag 0.500 0.500 0.339
Ag 0.250 0.250 0.899
Ag 0.750 0.750 0.101
Ag 0.323 0.177 0.563
Ag 0.677 0.177 0.437
Ag 0.000 0.000 0.661
Ag 0.177 0.323 0.437
Ag 0.250 0.250 0.101
Ag 0.823 0.677 0.437
Ag 0.677 0.823 0.563
Ag 0.000 0.000 0.204
Ag 0.177 0.677 0.563
Ag 0.500 0.500 0.661
Ag 0.750 0.250 0.899
Ag 0.500 0.500 0.204
Ag 0.323 0.823 0.437
Ag 0.750 0.250 0.101
Hg 0.500 0.000 0.271
Hg 0.000 0.500 0.271
Hg 0.000 0.500 0.729
Hg 0.500 0.000 0.729
Au 0.500 0.000 0.000
Au 0.000 0.500 0.000

Entry 5:
VASP calculation (PBE) on AgHgAu3 after structural relaxation.

Computed properties:
ΔE_f = 0.688 eV per atom
calculated volume = 27.1 Å³/atom
raw total energy = -1.909 eV per atom
symmetry = No. 221
relative energy among the computed polymorphs = 659.6 meV/atom

abc: 5.136 5.136 5.136
angles: 90.00 90.00 90.00
Fractional positions:
Au 0.000 0.500 0.000
Au 0.000 0.000 0.500
Au 0.500 0.000 0.000
Hg 0.500 0.500 0.500
Ag 0.000 0.000 0.000

Entry 6:
VASP calculation (PBE) on Ag5Hg2Au2 after structural relaxation.

Computed properties:
ΔE_f = 0.062 eV per atom
calculated volume = 20.0 Å³/atom
raw total energy = -2.317 eV per atom
symmetry = No. 2
relative energy among the computed polymorphs = 0.0 meV/atom

abc: 2.930 11.222 6.299
angles: 67.19 76.91 98.25
Fractional positions:
Ag 0.394 0.611 0.817
Ag 0.606 0.389 0.183
Ag 0.806 0.191 0.587
Ag 0.194 0.809 0.413
Ag 0.000 0.000 0.000
Hg 0.296 0.354 0.778
Hg 0.704 0.646 0.222
Au 0.584 0.895 0.722
Au 0.416 0.105 0.278

Entry 7:
VASP calculation (PBE) on Ag7Hg2Au2 after structural relaxation.

Computed properties:
ΔE_f = 0.077 eV per atom
calculated volume = 19.5 Å³/atom
raw total energy = -2.389 eV per atom
symmetry = No. 12
relative energy among the computed polymorphs = 42.0 meV/atom

abc: 5.497 7.244 5.497
angles: 97.70 93.67 97.70
Fractional positions:
Ag 0.083 0.287 0.440
Ag 0.560 0.713 0.917
Ag 0.917 0.713 0.560
Ag 0.440 0.287 0.083
Ag 0.000 0.500 0.000
Ag 0.144 0.906 0.144
Ag 0.856 0.094 0.856
Hg 0.614 0.360 0.614
Hg 0.386 0.640 0.386
Au 0.681 0.000 0.319
Au 0.319 0.000 0.681

Entry 8:
VASP calculation (PBE) on AgHgAu2 after structural relaxation.

Computed properties:
ΔE_f = 0.050 eV per atom
calculated volume = 19.1 Å³/atom
raw total energy = -2.377 eV per atom
symmetry = No. 123

abc: 3.408 3.408 6.580
angles: 90.00 90.00 90.00
Fractional positions:
Au 0.000 0.000 0.761
Au 0.000 0.000 0.239
Hg 0.500 0.500 0.500
Ag 0.500 0.500 0.000

Entry 9:
VASP calculation (PBE) on Ag3Hg2Au3 after structural relaxation.

Computed properties:
ΔE_f = 0.088 eV per atom
calculated volume = 19.8 Å³/atom
raw total energy = -2.286 eV per atom
symmetry = No. 155
relative energy among the computed polymorphs = 43.4 meV/atom

abc: 5.497 5.497 5.497
angles: 100.67 100.67 79.33
Fractional positions:
Ag 0.259 0.741 0.500
Ag 0.500 0.259 0.259
Ag 0.741 0.500 0.741
Hg 0.257 0.257 0.743
Hg 0.743 0.743 0.257
Au 0.236 0.764 0.000
Au 0.000 0.236 0.236
Au 0.764 0.000 0.764

Entry 10:
VASP calculation (PBE) on Ag4HgAu after structural relaxation.

Computed properties:
ΔE_f = 0.151 eV per atom
calculated volume = 22.2 Å³/atom
raw total energy = -2.347 eV per atom
symmetry = No. 123
relative energy among the computed polymorphs = 0.0 meV/atom

abc: 5.665 5.665 8.300
angles: 89.99 90.00 90.00
Fractional positions:
Ag 0.250 0.750 0.239
Ag 0.250 0.250 0.239
Ag 0.750 0.750 0.239
Ag 0.250 0.750 0.761
Ag 0.750 0.250 0.239
Ag 0.250 0.250 0.761
Ag 0.750 0.750 0.761
Ag 0.750 0.250 0.761
Hg 0.000 0.500 0.500
Hg 0.500 0.000 0.500
Au 0.500 0.500 0.000
Au 0.000 0.000 0.000

Entry 11:
VASP calculation (PBE) on Ag4HgAu5 after structural relaxation.

Computed properties:
ΔE_f = -0.009 eV per atom
calculated volume = 18.5 Å³/atom
raw total energy = -2.819 eV per atom
symmetry = No. 123

abc: 2.892 2.892 22.096
angles: 90.00 90.00 90.00
Fractional positions:
Ag 0.000 0.000 0.209
Ag 0.000 0.000 0.403
Ag 0.000 0.000 0.597
Ag 0.000 0.000 0.791
Hg 0.000 0.000 0.000
Au 0.500 0.500 0.111
Au 0.500 0.500 0.306
Au 0.500 0.500 0.500
Au 0.500 0.500 0.694
Au 0.500 0.500 0.889

Entry 12:
VASP calculation (PBE) on AgHgAu2 after structural relaxation.

Computed properties:
ΔE_f = 0.025 eV per atom
calculated volume = 18.9 Å³/atom
raw total energy = -2.402 eV per atom
symmetry = No. 11

abc: 4.932 5.128 5.991
angles: 90.12 90.00 90.00
Fractional positions:
Ag 0.250 0.574 0.628
Ag 0.750 0.426 0.372
Hg 0.750 0.912 0.633
Hg 0.250 0.088 0.367
Au 0.750 0.412 0.881
Au 0.250 0.588 0.119
Au 0.250 0.084 0.873
Au 0.750 0.916 0.127

Entry 13:
VASP calculation (PBE) on Ag4HgAu6 after structural relaxation.

Computed properties:
ΔE_f = 0.223 eV per atom
calculated volume = 21.7 Å³/atom
raw total energy = -2.629 eV per atom
symmetry = No. 121
relative energy among the computed polymorphs = 38.2 meV/atom

abc: 6.581 6.581 7.206
angles: 117.17 117.17 90.00
Fractional positions:
Ag 0.046 0.734 0.780
Ag 0.954 0.954 0.220
Ag 0.734 0.046 0.780
Ag 0.266 0.266 0.220
Hg 0.500 0.500 0.000
Au 0.900 0.408 0.308
Au 0.408 0.900 0.308
Au 0.592 0.592 0.692
Au 0.000 0.500 0.000
Au 0.100 0.100 0.692
Au 0.500 0.000 0.000

Entry 14:
VASP calculation (PBE) on Ag7Hg2Au2 after structural relaxation.

Computed properties:
ΔE_f = 0.035 eV per atom
calculated volume = 19.7 Å³/atom
raw total energy = -2.431 eV per atom
symmetry = No. 12
relative energy among the computed polymorphs = 0.0 meV/atom

abc: 4.177 7.664 7.664
angles: 69.25 105.78 105.78
Fractional positions:
Ag 0.665 0.916 0.414
Ag 0.335 0.586 0.084
Ag 0.335 0.084 0.586
Ag 0.665 0.414 0.916
Ag 0.500 0.000 0.000
Ag 0.827 0.827 0.827
Ag 0.173 0.173 0.173
Hg 0.852 0.354 0.354
Hg 0.148 0.646 0.646
Au 0.000 0.235 0.765
Au 0.000 0.765 0.235

Entry 15:
VASP calculation (PBE) on AgHgAu4 after structural relaxation.

Computed properties:
ΔE_f = 0.057 eV per atom
calculated volume = 20.2 Å³/atom
raw total energy = -2.654 eV per atom
symmetry = No. 216
relative energy among the computed polymorphs = 37.8 meV/atom

abc: 5.552 5.552 5.552
angles: 60.00 60.00 60.00
Fractional positions:
Ag 0.000 0.000 0.000
Au 0.125 0.625 0.625
Au 0.625 0.625 0.625
Au 0.625 0.125 0.625
Au 0.625 0.625 0.125
Hg 0.250 0.250 0.250

Entry 16:
VASP calculation (PBE) on AgHgAu2 after structural relaxation.

Computed properties:
ΔE_f = 0.030 eV per atom
calculated volume = 19.0 Å³/atom
raw total energy = -2.396 eV per atom
symmetry = No. 25

abc: 3.054 4.129 6.026
angles: 90.00 90.00 90.00
Fractional positions:
Au 0.000 0.000 0.998
Au 0.500 0.500 0.243
Hg 0.000 0.000 0.500
Ag 0.500 0.500 0.758

Entry 17:
VASP calculation (PBE) on Ag2Hg2Au after structural relaxation.

Computed properties:
ΔE_f = 0.243 eV per atom
calculated volume = 22.3 Å³/atom
raw total energy = -1.674 eV per atom
symmetry = No. 139
relative energy among the computed polymorphs = 183.5 meV/atom

abc: 3.948 3.948 7.677
angles: 75.10 75.10 90.00
Fractional positions:
Au 0.000 0.000 0.000
Hg 0.750 0.250 0.500
Hg 0.250 0.750 0.500
Ag 0.407 0.407 0.185
Ag 0.593 0.593 0.815

Entry 18:
VASP calculation (PBE) on Ag2HgAu after structural relaxation.

Computed properties:
ΔE_f = 0.039 eV per atom
calculated volume = 19.2 Å³/atom
raw total energy = -2.282 eV per atom
symmetry = No. 12

abc: 4.674 4.674 4.657
angles: 100.35 114.22 114.35
Fractional positions:
Ag 0.000 0.000 0.000
Ag 0.000 0.500 0.500
Hg 0.500 0.750 0.250
Au 0.500 0.250 0.750

Entry 19:
VASP calculation (PBE) on AgHgAu2 after structural relaxation.

Computed properties:
ΔE_f = 0.041 eV per atom
calculated volume = 19.1 Å³/atom
raw total energy = -2.386 eV per atom
symmetry = No. 216

abc: 4.761 4.761 4.761
angles: 60.00 60.00 60.00
Fractional positions:
Au 0.000 0.000 0.000
Au 0.250 0.250 0.250
Hg 0.750 0.750 0.750
Ag 0.500 0.500 0.500

Entry 20:
VASP calculation (PBE) on Ag2HgAu8 after structural relaxation.

Computed properties:
ΔE_f = 0.001 eV per atom
calculated volume = 18.3 Å³/atom
raw total energy = -2.929 eV per atom
symmetry = No. 12
relative energy among the computed polymorphs = 0.0 meV/atom

abc: 4.168 6.581 7.859
angles: 103.58 105.38 90.00
Fractional positions:
Ag 0.227 0.635 0.453
Ag 0.773 0.365 0.547
Hg 0.500 0.000 0.000
Au 0.593 0.456 0.185
Au 0.317 0.090 0.633
Au 0.139 0.186 0.278
Au 0.047 0.724 0.094
Au 0.861 0.814 0.722
Au 0.683 0.910 0.367
Au 0.407 0.544 0.815
Au 0.953 0.276 0.906